A relaxed structure of CrSbTeO6, computed with PBE+U.

It has space group P4_2nm (No. 102), with a = 4.8061 Å, b = 4.8061 Å, c = 9.6708 Å, α = 90.00°, β = 90.00° and γ = 90.00°. The asymmetric unit holds Cr at (0.0000, 0.0000, 0.0000), Sb at (0.0000, 0.0000, 0.6657), Te at (0.0000, 0.0000, 0.3313), O at (0.1821, 0.1821, 0.8312), O at (0.1983, 0.1983, 0.5094) and O at (0.2001, 0.2001, 0.1575).

As for the crystal system: tetragonal. The calculation puts the offset from the most stable computed form at 0.0000 eV/atom. For the total energy, the calculation gives -6.3102 eV/atom. As for the calculated volume: 223.38 Å³/cell. As for the total magnetization: 6.0 μB per cell. As for the density: 5.91 g/cm3.